VASP calculation (GGA-PBEsol) on crystalline BaGeP2 at its relaxed geometry.

- VASP energy (eV per formula unit) = -20.9
- ρ (g/cm3) = 4.5
- DFT formation energy (eV/f.u.) = -2.24
- M_tot (μB per formula unit) = 0.000

Unit cell a=6.407 b=6.407 c=6.407 alpha=105.23 beta=111.63 gamma=111.63
Sites, in units of the cell vectors:
P 0.906 0.531 0.125
P 0.094 0.219 0.625
P 0.594 0.375 0.469
P 0.406 0.875 0.781
Ge 0.000 0.500 0.500
Ge 0.500 0.250 0.750
Ba 0.000 0.000 0.000
Ba 0.500 0.750 0.250